[1]
A PBEsol-optimized structure of As2OsIF, computed with SCAN.

a b c (Å): 5.1968 5.1968 4.0740
angles (deg): 90.00 90.00 90.00
With the nearest neighbours (Å) after each atom.
Element x y z (fractional)
As (0.0000, 0.5000, 0.0000)  2 I 2.60
As (0.5000, 0.0000, 0.0000)  2 I 2.60
Os (0.0000, 0.0000, 0.5000)  8 As 3.30, 4 F 3.67
I (0.5000, 0.5000, 0.0000)  2 F 2.04
F (0.5000, 0.5000, 0.5000)  2 I 2.04

- Space group: P4/mmm, No. 123
- Volume: 22.0 A^3/atom
- Fermi-level density of states: 0.641 states/eV per atom
- Raw formation energy: 7.54 eV per formula unit
- Crystal system: tetragonal

=====

[2]
A PBEsol-optimized structure of AsSe6IF6, computed with SCAN.

a b c (Å): 9.2405 6.7805 11.5183
angles (deg): 90.00 120.41 90.00
With the nearest neighbours (Å) after each atom.
Element x y z (fractional)
As (0.0000, 0.0000, 0.0000)  6 F 1.76-1.77
As (0.0000, 0.0000, 0.5000)  6 F 1.76-1.77
Se (0.2346, 0.4310, 0.3833)  2 Se 2.31-2.41
Se (0.2346, 0.5690, 0.8833)  2 Se 2.31-2.41
Se (0.3335, 0.2386, 0.8892)  2 Se 2.41
Se (0.3335, 0.7614, 0.3892)  2 Se 2.41
Se (0.4364, 0.2336, 0.3812)  2 Se 2.31-2.41
Se (0.4364, 0.7664, 0.8812)  2 Se 2.31-2.41
Se (0.5636, 0.2336, 0.1188)  2 Se 2.31-2.41
Se (0.5636, 0.7664, 0.6188)  2 Se 2.31-2.41
Se (0.6665, 0.2386, 0.6108)  2 Se 2.41
Se (0.6665, 0.7614, 0.1108)  2 Se 2.41
Se (0.7654, 0.4310, 0.1167)  2 Se 2.31-2.41
Se (0.7654, 0.5690, 0.6167)  2 Se 2.31-2.41
I (0.5000, 0.2628, 0.7500)  2 Se 2.73
I (0.5000, 0.7372, 0.2500)  2 Se 2.73
F (0.0643, 0.2144, 0.6007)  1 As 1.76
F (0.0643, 0.7856, 0.1007)  1 As 1.76
F (0.0699, 0.1008, 0.3961)  1 As 1.76
F (0.0699, 0.8992, 0.8961)  1 As 1.76
F (0.1998, 0.1077, 0.1030)  1 As 1.77
F (0.1998, 0.8923, 0.6030)  1 As 1.77
F (0.8002, 0.1077, 0.3970)  1 As 1.77
F (0.8002, 0.8923, 0.8970)  1 As 1.77
F (0.9301, 0.1008, 0.1039)  1 As 1.76
F (0.9301, 0.8992, 0.6039)  1 As 1.76
F (0.9357, 0.2144, 0.8993)  1 As 1.76
F (0.9357, 0.7856, 0.3993)  1 As 1.76

- Space group: P2/c, No. 13
- Volume: 22.2 A^3/atom
- Fermi-level density of states: 0.000 states/eV per atom
- Raw formation energy: -16.19 eV per formula unit
- Crystal system: monoclinic